Material: Pm4CI2N
Method: DFT, PBE
State: relaxed

Results
formation energy (no corrections): -0.98 eV per atom
density of states at the Fermi level: 0.252 states/eV per atom

Unit cell a=3.8218 b=6.6171 c=7.9677 alpha=106.20 beta=90.00 gamma=90.00
Closest atoms and distances in Å follow each position.
Positions (direct):
Pm1 0.5000 0.2212 0.1689  2 N 2.55, 1 C 2.57
Pm2 0.5000 0.7788 0.8311  2 N 2.55, 1 C 2.57
Pm3 0.0000 0.2731 0.8292  1 N 2.55, 2 C 2.57
Pm4 0.0000 0.7269 0.1708  1 N 2.55, 2 C 2.57
C1 0.5000 0.5000 0.0000  6 Pm 2.57
I1 0.5000 0.0000 0.5000  6 Pm 3.34-3.35
I2 0.0000 0.5000 0.5000  6 Pm 3.36-3.37
N1 0.0000 0.0000 0.0000  6 Pm 2.55

---

Material: Pr4CI2N
Method: DFT, PBE
State: relaxed

Results
formation energy (no corrections): -0.95 eV per atom
density of states at the Fermi level: 0.258 states/eV per atom

Unit cell a=3.8748 b=6.7105 c=8.1356 alpha=106.07 beta=90.00 gamma=90.00
Closest atoms and distances in Å follow each position.
Positions (direct):
Pr1 0.5000 0.2213 0.1704  2 N 2.60, 1 C 2.62
Pr2 0.5000 0.7787 0.8296  2 N 2.60, 1 C 2.62
Pr3 0.0000 0.2723 0.8278  1 N 2.59, 2 C 2.62
Pr4 0.0000 0.7277 0.1722  1 N 2.59, 2 C 2.62
C1 0.5000 0.5000 0.0000  6 Pr 2.62
I1 0.5000 0.0000 0.5000  6 Pr 3.39-3.41
I2 0.0000 0.5000 0.5000  6 Pr 3.42
N1 0.0000 0.0000 0.0000  6 Pr 2.59-2.60

---

Material: Pr8CI4N3
Method: DFT, PBE
State: relaxed

Results
formation energy (no corrections): -1.07 eV per atom
density of states at the Fermi level: 0.219 states/eV per atom

Unit cell a=7.7241 b=8.9549 c=7.7185 alpha=115.51 beta=120.02 gamma=90.00
Closest atoms and distances in Å follow each position.
Positions (direct):
Pr1 0.2251 0.6704 0.9454  2 N 2.58, 1 C 2.61
Pr2 0.2251 0.6704 0.4502  2 N 2.58, 1 C 2.61
Pr3 0.2769 0.3311 0.5539  3 N 2.59
Pr4 0.7202 0.6704 0.9454  2 N 2.58, 1 C 2.61
Pr5 0.2798 0.3296 0.0546  2 N 2.58, 1 C 2.61
Pr6 0.7231 0.6689 0.4461  3 N 2.59
Pr7 0.7749 0.3296 0.5498  2 N 2.58, 1 C 2.61
Pr8 0.7749 0.3296 0.0546  2 N 2.58, 1 C 2.61
C1 0.0000 0.5000 0.0000  6 Pr 2.61
I1 0.5000 0.0000 0.0000  6 Pr 3.38
I2 0.5000 0.0000 0.5000  6 Pr 3.40
I3 0.0000 0.0000 0.0000  6 Pr 3.40
I4 0.0000 0.0000 0.5000  6 Pr 3.40
N1 0.5000 0.5000 0.0000  6 Pr 2.58-2.59
N2 0.5000 0.5000 0.5000  6 Pr 2.58-2.59
N3 0.0000 0.5000 0.5000  6 Pr 2.58-2.59

---

Material: Pr6CI3N2
Method: DFT, PBE
State: relaxed

Results
formation energy (no corrections): -1.03 eV per atom
density of states at the Fermi level: 0.275 states/eV per atom

Unit cell a=6.6937 b=6.6937 c=8.0950 alpha=97.92 beta=97.92 gamma=120.00
Closest atoms and distances in Å follow each position.
Positions (direct):
Pr1 0.9431 0.6073 0.8293  2 N 2.59, 1 C 2.61
Pr2 0.7210 0.7210 0.1704  2 N 2.59, 1 C 2.61
Pr3 0.0569 0.3927 0.1707  2 N 2.59, 1 C 2.61
Pr4 0.6073 0.9431 0.8293  2 N 2.59, 1 C 2.61
Pr5 0.2790 0.2790 0.8296  2 N 2.59, 1 C 2.61
Pr6 0.3927 0.0569 0.1707  2 N 2.59, 1 C 2.61
C1 0.0000 0.0000 0.0000  6 Pr 2.61
I1 0.1654 0.8346 0.5000  6 Pr 3.39-3.40
I2 0.8346 0.1654 0.5000  6 Pr 3.39-3.40
I3 0.5000 0.5000 0.5000  6 Pr 3.39-3.40
N1 0.3332 0.6668 0.0000  6 Pr 2.59
N2 0.6668 0.3332 0.0000  6 Pr 2.59

---

Material: PtCIN2
Method: DFT, PBE
State: relaxed

Results
formation energy (no corrections): 2.56 eV per atom
energy above the most stable polymorph in this dataset: 48.36 kJ/mol of atoms
density of states at the Fermi level: 0.915 states/eV per atom

Unit cell a=3.5758 b=3.5758 c=6.4913 alpha=90.00 beta=90.00 gamma=90.00
Closest atoms and distances in Å follow each position.
Positions (direct):
I1 0.0000 0.0000 0.5000  4 Pt 2.53
C1 0.0000 0.0000 0.0000  4 N 1.79
Pt1 0.5000 0.5000 0.5000  4 I 2.53
N1 0.0000 0.5000 0.0000  2 C 1.79
N2 0.5000 0.0000 0.0000  2 C 1.79

---

Material: PtCIN2
Method: DFT, PBE
State: relaxed

Results
formation energy (no corrections): 2.06 eV per atom
energy above the most stable polymorph in this dataset: 0.00 kJ/mol of atoms
density of states at the Fermi level: 0.391 states/eV per atom

Unit cell a=3.7118 b=3.7118 c=9.0650 alpha=90.00 beta=90.00 gamma=90.00
Closest atoms and distances in Å follow each position.
Positions (direct):
I1 0.0000 0.0000 0.5000  4 C 2.62
C1 0.5000 0.5000 0.5000  4 I 2.62
Pt1 0.0000 0.0000 0.0000  4 N 1.86
N1 0.0000 0.5000 0.0000  2 Pt 1.86
N2 0.5000 0.0000 0.0000  2 Pt 1.86

---

Material: RbC2IN
Method: DFT, PBE
State: relaxed

Results
formation energy (no corrections): 3.61 eV per atom
density of states at the Fermi level: 0.451 states/eV per atom

Unit cell a=6.2148 b=6.9930 c=6.2148 alpha=90.00 beta=90.00 gamma=90.00
Closest atoms and distances in Å follow each position.
Positions (direct):
I1 0.0000 0.5000 0.0000  2 Rb 3.50
C1 0.0000 0.0000 0.5000  2 Rb 3.11
C2 0.5000 0.0000 0.0000  2 Rb 3.11
Rb1 0.0000 0.0000 0.0000  4 C 3.11
N1 0.5000 0.5000 0.5000  4 I 4.39, 8 C 4.68

---

Material: RbCI2N
Method: DFT, PBE
State: relaxed

Results
formation energy (no corrections): 2.41 eV per atom
energy above the most stable polymorph in this dataset: 170.34 kJ/mol of atoms
density of states at the Fermi level: 2.038 states/eV per atom

Unit cell a=6.8588 b=6.8588 c=5.5884 alpha=90.00 beta=90.00 gamma=90.00
Closest atoms and distances in Å follow each position.
Positions (direct):
I1 0.0000 0.5000 0.0000  2 Rb 3.43
I2 0.5000 0.0000 0.0000  2 Rb 3.43
C1 0.5000 0.5000 0.5000  8 I 4.42, 4 N 4.85
Rb1 0.0000 0.0000 0.0000  2 N 2.79
N1 0.0000 0.0000 0.5000  2 Rb 2.79

---

Calculated DFT total energy in order - -5.934 -5.918 -5.988 -5.967 -4.134 -4.635 -2.251 -1.908 eV per atom